## NaBC2 (PBEsol)

Data for a relaxed structure of NaBC2.

Output
**Size of the total moment**: 0.000 μB per formula unit
**ΔE_f**: 0.883 eV/atom
**Total DFT energy (no corrections)**: -96.69 eV per cell

CIF file:
```
data_NaBC2
_chemical_formula_sum 'Na4 B4 C8'
_cell_length_a 3.771
_cell_length_b 3.771
_cell_length_c 10.433
_cell_angle_alpha 90.00
_cell_angle_beta 90.00
_cell_angle_gamma 90.00
_space_group_name_H-M_alt 'I 41/a m d'
_space_group_IT_number 141
loop_
_space_group_symop_operation_xyz
'x,y,z'
'-x,-y,-z'
'-y+1/4,x+3/4,z+1/4'
'y+1/4,-x+3/4,-z+1/4'
'-x+1/2,-y,z+1/2'
'x+1/2,y,-z+1/2'
'y+1/4,-x+1/4,z+3/4'
'-y+1/4,x+1/4,-z+3/4'
'x,-y,-z'
'-x,y,z'
'-y+1/4,-x+1/4,-z+3/4'
'y+1/4,x+1/4,z+3/4'
'-x+1/2,y,-z+1/2'
'x+1/2,-y,z+1/2'
'y+1/4,x+3/4,-z+1/4'
'-y+1/4,-x+3/4,z+1/4'
'x+1/2,y+1/2,z+1/2'
'-x+1/2,-y+1/2,-z+1/2'
'-y+3/4,x+1/4,z+3/4'
'y+3/4,-x+1/4,-z+3/4'
'-x,-y+1/2,z'
'x,y+1/2,-z'
'y+3/4,-x+3/4,z+1/4'
'-y+3/4,x+3/4,-z+1/4'
'x+1/2,-y+1/2,-z+1/2'
'-x+1/2,y+1/2,z+1/2'
'-y+3/4,-x+3/4,-z+1/4'
'y+3/4,x+3/4,z+1/4'
'-x,y+1/2,-z'
'x,-y+1/2,z'
'y+3/4,x+1/4,-z+3/4'
'-y+3/4,-x+1/4,z+3/4'
loop_
_atom_site_label
_atom_site_type_symbol
_atom_site_fract_x
_atom_site_fract_y
_atom_site_fract_z
Na1 Na 0.000 0.250 0.375
B1 B 0.000 0.250 0.875
C1 C 0.000 0.000 0.000
```



## TiAgPO5 (PBEsol)

Data for a relaxed structure of TiAgPO5.

Output
**ΔE_f (raw)**: -2.141 eV/atom
**Size of the total moment**: 0.000 μB per formula unit
**Total DFT energy (no corrections)**: -486.40 eV per cell

CIF file:
```
data_TiAgPO5
_chemical_formula_sum 'Ti8 Ag8 P8 O40'
_cell_length_a 12.467
_cell_length_b 6.297
_cell_length_c 10.569
_cell_angle_alpha 90.00
_cell_angle_beta 90.00
_cell_angle_gamma 90.00
_space_group_name_H-M_alt 'P n a 21'
_space_group_IT_number 33
loop_
_space_group_symop_operation_xyz
'x,y,z'
'-x,-y,z+1/2'
'-x+1/2,y+1/2,z+1/2'
'x+1/2,-y+1/2,z'
loop_
_atom_site_label
_atom_site_type_symbol
_atom_site_fract_x
_atom_site_fract_y
_atom_site_fract_z
Ti1 Ti 0.128 0.050 0.000
Ti2 Ti 0.216 0.307 0.727
Ag1 Ag 0.119 0.764 0.628
Ag2 Ag 0.173 0.328 0.277
P1 P 0.027 0.850 0.271
P2 P 0.184 0.555 0.997
O1 O 0.011 0.911 0.411
O2 O 0.031 0.050 0.184
O3 O 0.064 0.303 0.726
O4 O 0.108 0.747 0.996
O5 O 0.123 0.358 0.043
O6 O 0.132 0.724 0.259
O7 O 0.201 0.075 0.859
O8 O 0.219 0.094 0.588
O9 O 0.230 0.523 0.863
O10 O 0.248 0.520 0.614
```



## SnBiN3 (PBEsol)

Data for a relaxed structure of SnBiN3.

Output
**ΔE_f (raw)**: 1.166 eV/atom
**Size of the total moment**: 0.024 μB per formula unit
**Total DFT energy (no corrections)**: -28.29 eV per cell

CIF file:
```
data_SnBiN3
_chemical_formula_sum 'Sn1 Bi1 N3'
_cell_length_a 4.126
_cell_length_b 4.126
_cell_length_c 4.126
_cell_angle_alpha 90.00
_cell_angle_beta 90.00
_cell_angle_gamma 90.00
_space_group_name_H-M_alt 'P m -3 m'
_space_group_IT_number 221
_space_group_name_Hall '-P 4 2 3'
loop_
_atom_site_label
_atom_site_type_symbol
_atom_site_fract_x
_atom_site_fract_y
_atom_site_fract_z
Sn1 Sn 0.000 0.000 0.000
Bi1 Bi 0.500 0.500 0.500
N1 N 0.000 0.000 0.500
```



## Cd2BiBrN (PBEsol)

Data for a relaxed structure of Cd2BiBrN.

Output
**ΔE_f (raw)**: 0.453 eV/atom
**Size of the total moment**: 0.000 μB per formula unit
**Total DFT energy (no corrections)**: -14.81 eV per cell

CIF file:
```
data_Cd2BiBrN
_chemical_formula_sum 'Cd2 Bi1 Br1 N1'
_cell_length_a 4.276
_cell_length_b 4.276
_cell_length_c 6.537
_cell_angle_alpha 90.00
_cell_angle_beta 90.00
_cell_angle_gamma 90.00
_space_group_name_H-M_alt 'P 4/m m m'
_space_group_IT_number 123
_space_group_name_Hall '-P 4 2'
loop_
_atom_site_label
_atom_site_type_symbol
_atom_site_fract_x
_atom_site_fract_y
_atom_site_fract_z
Cd1 Cd 0.000 0.500 0.000
Bi1 Bi 0.000 0.000 0.500
Br1 Br 0.500 0.500 0.500
N1 N 0.500 0.500 0.000
```